Entry from the Alexandria database: a relaxed Mn2CdMoO6 crystal (GGA+U).

Cell lengths 5.339, 5.339, 5.302 Å; angles 90.00, 90.00, 90.00 degrees
Positions (direct):
Mn: 0.000 0.500 0.000
Mn: 0.500 0.000 0.000
Cd: 0.000 0.000 0.563
Mo: 0.500 0.500 0.658
O: 0.000 0.000 0.173
O: 0.264 0.264 0.787
O: 0.264 0.736 0.787
O: 0.500 0.500 0.323
O: 0.736 0.264 0.787
O: 0.736 0.736 0.787

Symmetry ... No. 99
DFT total energy ... -65.276 eV/cell
Total magnetic moment ... 10.00 μB per formula unit